No. 1
First-principles (GGA-PBEsol) data for a geometry-optimized Lu2Co12P7 structure, as listed in the Alexandria database.

abc: 8.8630 8.8630 3.5039
angles: 90.00 90.00 120.00
Sites, in units of the cell vectors:
Lu: 0.0000 0.0000 0.0000
Lu: 0.3333 0.6667 0.5000
Co: 0.0420 0.7695 0.5000
Co: 0.1034 0.3876 0.0000
Co: 0.2305 0.2725 0.5000
Co: 0.2842 0.8966 0.0000
Co: 0.4305 0.2296 0.0000
Co: 0.5124 0.0592 0.5000
Co: 0.5468 0.4876 0.5000
Co: 0.6124 0.7158 0.0000
Co: 0.7275 0.9580 0.5000
Co: 0.7704 0.2009 0.0000
Co: 0.7991 0.5695 0.0000
Co: 0.9408 0.4532 0.5000
P: 0.0711 0.6247 0.0000
P: 0.2595 0.0411 0.5000
P: 0.3753 0.4465 0.0000
P: 0.5535 0.9289 0.0000
P: 0.6667 0.3333 0.5000
P: 0.7816 0.7405 0.5000
P: 0.9589 0.2184 0.5000

Summary:
As for the energy of formation: -0.910 eV/atom. The density of states at the Fermi level comes out at 0.618 states/eV/atom. The calculation puts the density at 8875 kg/m³. As for the final energy: -7.73 eV per atom. As for the space-group type: P-6 (174). The calculation puts the volume at 11.35 Å³/atom.


No. 2
First-principles (GGA-PBEsol) data for a geometry-optimized BeAg2Ru structure, as listed in the Alexandria database.

abc: 2.6399 3.9627 5.3545
angles: 90.00 90.00 90.00
Sites, in units of the cell vectors:
Be: 0.0000 0.0000 0.0000
Ag: 0.5000 0.5000 0.2419
Ag: 0.5000 0.5000 0.7581
Ru: 0.0000 0.0000 0.5000

Summary:
As for the energy of formation: 0.470 eV/atom. The density of states at the Fermi level comes out at 0.883 states/eV/atom. The calculation puts the density at 9659 kg/m³. As for the final energy: -4.73 eV per atom. As for the space-group type: Pmmm (47). The calculation puts the volume at 14.00 Å³/atom.


No. 3
First-principles (GGA-PBEsol) data for a geometry-optimized Ba2CaP structure, as listed in the Alexandria database.

abc: 9.3568 9.3568 9.3568
angles: 156.19 152.14 36.97
Sites, in units of the cell vectors:
Ba: 0.1505 0.1505 0.0000
Ba: 0.8495 0.8495 0.0000
Ca: 0.5000 0.0000 0.5000
P: 0.0000 0.5000 0.5000

Summary:
As for the energy of formation: -0.505 eV/atom. The density of states at the Fermi level comes out at 0.879 states/eV/atom. The calculation puts the density at 3719 kg/m³. As for the final energy: -3.56 eV per atom. As for the space-group type: Immm (71). The calculation puts the volume at 38.59 Å³/atom.


No. 4
First-principles (GGA-PBEsol) data for a geometry-optimized Ge3RhBr structure, as listed in the Alexandria database.

abc: 4.7642 4.7642 4.7642
angles: 90.00 90.00 90.00
Sites, in units of the cell vectors:
Ge: 0.0000 0.0000 0.5000
Ge: 0.0000 0.5000 0.0000
Ge: 0.5000 0.0000 0.0000
Rh: 0.0000 0.0000 0.0000
Br: 0.5000 0.5000 0.5000

Summary:
The density of states at the Fermi level comes out at 0.828 states/eV/atom. The calculation puts the density at 6153 kg/m³. As for the final energy: -4.93 eV per atom. Its uncorrected formation energy is 3.6 kJ/mol of atoms. As for the space-group type: Pm-3m (221). The calculation puts the volume at 21.63 Å³/atom.


No. 5
First-principles (GGA-PBEsol) data for a geometry-optimized KPt2Se structure, as listed in the Alexandria database.

abc: 3.4020 3.4020 7.2400
angles: 90.00 90.00 90.00
Sites, in units of the cell vectors:
K: 0.0000 0.0000 0.0000
Pt: 0.0000 0.0000 0.5073
Pt: 0.5000 0.5000 0.3197
Se: 0.5000 0.5000 0.6566

Summary:
The density of states at the Fermi level comes out at 0.736 states/eV/atom. The calculation puts the density at 10072 kg/m³. As for the final energy: -4.66 eV per atom. Its uncorrected formation energy is 7.0 kJ/mol of atoms. As for the space-group type: P4mm (99). The calculation puts the volume at 20.95 Å³/atom.


No. 6
First-principles (GGA-PBEsol) data for a geometry-optimized Tl2SeCl structure, as listed in the Alexandria database.

abc: 4.1740 4.1740 6.7494
angles: 90.00 90.00 90.00
Sites, in units of the cell vectors:
Tl: 0.0000 0.0000 0.0000
Tl: 0.5000 0.5000 0.4993
Se: 0.5000 0.5000 0.0111
Cl: 0.0000 0.0000 0.5777

Summary:
For the distance to the lowest polymorph of the same formula, the calculation gives 7.7 meV per atom. The density of states at the Fermi level comes out at 0.203 states/eV/atom. The calculation puts the density at 7388 kg/m³. As for the final energy: -3.30 eV per atom. Its uncorrected formation energy is -50.1 kJ/mol of atoms. As for the space-group type: P4mm (99). The calculation puts the volume at 29.40 Å³/atom.


No. 7
First-principles (GGA-PBEsol) data for a geometry-optimized SrBi2As2 structure, as listed in the Alexandria database.

abc: 7.8257 7.8257 7.8257
angles: 146.68 146.68 47.84
Sites, in units of the cell vectors:
Sr: 0.0000 0.0000 0.0000
Bi: 0.2500 0.7500 0.5000
Bi: 0.7500 0.2500 0.5000
As: 0.4148 0.4148 0.0000
As: 0.5852 0.5852 0.0000

Summary:
As for the energy of formation: -0.322 eV/atom. The density of states at the Fermi level comes out at 0.464 states/eV/atom. The calculation puts the density at 7554 kg/m³. As for the final energy: -4.45 eV per atom. As for the space-group type: I4/mmm (139). The calculation puts the volume at 28.81 Å³/atom.


No. 8
First-principles (GGA-PBEsol) data for a geometry-optimized LiAu5 structure, as listed in the Alexandria database.

abc: 5.4740 5.4740 6.8385
angles: 105.55 105.55 30.06
Sites, in units of the cell vectors:
Li: 0.0000 0.0000 0.0000
Au: 0.2772 0.2772 0.0503
Au: 0.3405 0.3405 0.6781
Au: 0.6093 0.6093 0.7242
Au: 0.6654 0.6654 0.3242
Au: 0.9463 0.9463 0.3813

Summary:
For the distance to the lowest polymorph of the same formula, the calculation gives 45.4 meV per atom. As for the energy of formation: -0.194 eV/atom. The density of states at the Fermi level comes out at 0.333 states/eV/atom. The calculation puts the density at 16700 kg/m³. As for the final energy: -3.79 eV per atom. As for the space-group type: Cm (8). The calculation puts the volume at 16.44 Å³/atom.


No. 9
First-principles (GGA-PBEsol) data for a geometry-optimized Cd2PbW structure, as listed in the Alexandria database.

abc: 2.9264 5.1129 5.6693
angles: 90.00 104.95 90.00
Sites, in units of the cell vectors:
Cd: 0.1928 0.0000 0.2714
Cd: 0.8072 0.0000 0.7286
Pb: 0.5000 0.5000 0.0000
W: 0.0000 0.5000 0.5000

Summary:
As for the energy of formation: 0.707 eV/atom. The density of states at the Fermi level comes out at 0.569 states/eV/atom. The calculation puts the density at 12479 kg/m³. As for the final energy: -4.34 eV per atom. As for the space-group type: P2/m (10). The calculation puts the volume at 20.49 Å³/atom.


No. 10
First-principles (GGA-PBEsol) data for a geometry-optimized KBiP2S7 structure, as listed in the Alexandria database.

abc: 9.5128 12.2839 9.0102
angles: 90.00 90.14 90.00
Sites, in units of the cell vectors:
K: 0.1121 0.1917 0.1278
K: 0.1121 0.3083 0.6278
K: 0.8879 0.6917 0.3722
K: 0.8879 0.8083 0.8722
Bi: 0.3485 0.6384 0.6115
Bi: 0.3485 0.8616 0.1115
Bi: 0.6515 0.1384 0.8885
Bi: 0.6515 0.3616 0.3885
P: 0.2238 0.6041 0.9772
P: 0.2238 0.8959 0.4772
P: 0.3169 0.0369 0.8003
P: 0.3169 0.4631 0.3003
P: 0.6831 0.5369 0.6997
P: 0.6831 0.9631 0.1997
P: 0.7762 0.1041 0.5228
P: 0.7762 0.3959 0.0228
S: 0.1226 0.7098 0.1123
S: 0.1226 0.7902 0.6123
S: 0.1240 0.5549 0.7901
S: 0.1240 0.9451 0.2901
S: 0.1614 0.5285 0.4267
S: 0.1614 0.9715 0.9267
S: 0.2494 0.0519 0.5766
S: 0.2494 0.4481 0.0766
S: 0.3472 0.1952 0.8516
S: 0.3472 0.3048 0.3516
S: 0.4115 0.6726 0.9237
S: 0.4115 0.8274 0.4237
S: 0.4923 0.5570 0.3169
S: 0.4923 0.9430 0.8169
S: 0.5077 0.0570 0.1831
S: 0.5077 0.4430 0.6831
S: 0.5885 0.1726 0.5763
S: 0.5885 0.3274 0.0763
S: 0.6528 0.6952 0.6484
S: 0.6528 0.8048 0.1484
S: 0.7506 0.5519 0.9234
S: 0.7506 0.9481 0.4234
S: 0.8386 0.0285 0.0733
S: 0.8386 0.4715 0.5733
S: 0.8760 0.0549 0.7099
S: 0.8760 0.4451 0.2099
S: 0.8774 0.2098 0.3877
S: 0.8774 0.2902 0.8877

Summary:
The density of states at the Fermi level comes out at 0.000 states/eV/atom. The calculation puts the density at 3372 kg/m³. As for the final energy: -4.84 eV per atom. Its uncorrected formation energy is -48.9 kJ/mol of atoms. As for the space-group type: P2_1/c (14). The calculation puts the volume at 23.93 Å³/atom.


No. 11
First-principles (GGA-PBEsol) data for a geometry-optimized SrEuO2 structure, as listed in the Alexandria database.

abc: 6.2131 6.2131 6.2131
angles: 33.39 33.39 33.39
Sites, in units of the cell vectors:
Sr: 0.0000 0.0000 0.0000
Eu: 0.5000 0.5000 0.5000
O: 0.2470 0.2470 0.2470
O: 0.7530 0.7530 0.7530

Summary:
The density of states at the Fermi level comes out at 1.541 states/eV/atom. The calculation puts the density at 6972 kg/m³. As for the final energy: -8.54 eV per atom. Its uncorrected formation energy is -271.3 kJ/mol of atoms. As for the space-group type: R-3m (166). The calculation puts the volume at 16.17 Å³/atom.


No. 12
First-principles (GGA-PBEsol) data for a geometry-optimized Nb2Te2Pt structure, as listed in the Alexandria database.

abc: 8.1821 8.1821 8.1821
angles: 153.43 153.43 37.94
Sites, in units of the cell vectors:
Nb: 0.2500 0.7500 0.5000
Nb: 0.7500 0.2500 0.5000
Te: 0.1074 0.1074 0.0000
Te: 0.8926 0.8926 0.0000
Pt: 0.5000 0.5000 0.0000

Summary:
The density of states at the Fermi level comes out at 1.241 states/eV/atom. The calculation puts the density at 9650 kg/m³. As for the final energy: -6.72 eV per atom. Its uncorrected formation energy is 39.7 kJ/mol of atoms. As for the space-group type: I4/mmm (139). The calculation puts the volume at 21.89 Å³/atom.